## Na2LiMnO4 (GGA+U)

Data for a geometry-optimized Na2LiMnO4 structure.

N(E_F)   0.0 states/eV/f.u.
Electronic total energy   -43.12 eV per formula unit
SG   I-42m (121)

a b c (Å): 5.3566 4.9902 4.9902
angles (deg): 73.26 57.54 57.54
Closest atoms and distances in Å follow each position.
Fractional coordinates of all 8 atoms:
O1 0.1390 0.3211 0.0000  1 Mn 1.73
Li1 0.0000 0.0000 0.0000  4 O 2.10
Mn1 0.5000 0.0000 0.0000  4 O 1.73
O2 0.8610 0.0000 0.6789  1 Mn 1.73
Na1 0.5000 0.5000 0.5000  8 O 2.48-2.75, 2 Na 2.68
O3 0.4601 0.6789 0.0000  1 Mn 1.73
Na2 0.0000 0.5000 0.5000  8 O 2.48-2.75, 2 Na 2.68
O4 0.5399 0.0000 0.3211  1 Mn 1.73